[1]
First-principles (SCAN) data for a crystal of InFeAg2 relaxed with PBEsol, as listed in Alexandria.

Properties
crystal system = monoclinic
energy of formation = 0.173 eV per atom

```
data_InFeAg2
_chemical_formula_sum 'In2 Fe2 Ag4'
_space_group_name_H-M_alt 'C 1 2/m 1'
_space_group_IT_number 12
_cell_length_a 9.602
_cell_length_b 2.894
_cell_length_c 4.829
_cell_angle_alpha 90.00
_cell_angle_beta 102.19
_cell_angle_gamma 90.00
loop_
_space_group_symop_operation_xyz
'x,y,z'
'-x,-y,-z'
'-x,y,-z'
'x,-y,z'
'x+1/2,y+1/2,z'
'-x+1/2,-y+1/2,-z'
'-x+1/2,y+1/2,-z'
'x+1/2,-y+1/2,z'
loop_
_atom_site_label
_atom_site_type_symbol
_atom_site_fract_x
_atom_site_fract_y
_atom_site_fract_z
In1 In 0.000 0.000 0.000
Fe1 Fe 0.000 0.500 0.500
Ag1 Ag 0.241 0.000 0.738
```

***

[2]
First-principles (SCAN) data for a crystal of LiCa2MnSi relaxed with PBEsol, as listed in Alexandria.

Properties
raw formation energy = 0.016 eV/atom
crystal system = tetragonal

```
data_LiCa2MnSi
_chemical_formula_sum 'Li1 Ca2 Mn1 Si1'
_space_group_name_H-M_alt 'P 4/m m m'
_space_group_IT_number 123
_space_group_name_Hall '-P 4 2'
_cell_length_a 5.667
_cell_length_b 5.667
_cell_length_c 4.548
_cell_angle_alpha 90.00
_cell_angle_beta 90.00
_cell_angle_gamma 90.00
loop_
_atom_site_label
_atom_site_type_symbol
_atom_site_fract_x
_atom_site_fract_y
_atom_site_fract_z
Li1 Li 0.000 0.000 0.000
Ca1 Ca 0.000 0.500 0.500
Mn1 Mn 0.500 0.500 0.000
Si1 Si 0.500 0.500 0.500
```

***

[3]
First-principles (SCAN) data for a crystal of Be2ReP relaxed with PBEsol, as listed in Alexandria.

Properties
polymorph energy (0 for the lowest one) = 540 meV per atom
crystal system = tetragonal
energy of formation = 0.359 eV per atom

```
data_Be2ReP
_chemical_formula_sum 'Be2 Re1 P1'
_space_group_name_H-M_alt 'P 4/m m m'
_space_group_IT_number 123
_space_group_name_Hall '-P 4 2'
_cell_length_a 2.553
_cell_length_b 2.553
_cell_length_c 7.219
_cell_angle_alpha 90.00
_cell_angle_beta 90.00
_cell_angle_gamma 90.00
loop_
_atom_site_label
_atom_site_type_symbol
_atom_site_fract_x
_atom_site_fract_y
_atom_site_fract_z
Be1 Be 0.000 0.000 0.245
Re1 Re 0.500 0.500 0.000
P1 P 0.500 0.500 0.500
```

***

no.,calculated density (g cm⁻³)
1,9.782
2,1.934
3,8.303